Density functional theory data (PBE-GGA) for a geometry-optimized V2SnS structure.

Cell: 6.9774 6.9774 6.9774 Å, 27.94 27.94 27.94°
Last column: nearest neighbours and their distance in Å.
Positions (direct):
1 V 0.2237 0.2237 0.2237  3 S 2.26
2 V 0.7763 0.7763 0.7763  3 S 2.26
3 Sn 0.0000 0.0000 0.0000  6 V 2.94
4 S 0.5000 0.5000 0.5000  6 V 2.26

- symmetry = No. 166
- energy above the most stable polymorph in this dataset (kJ/mol of formula units) = 0
- E (eV per atom) = -6.914
- N(E_F) (states/eV per atom) = 1.053

=====

Density functional theory data (PBE-GGA) for a geometry-optimized VSn3S structure.

Cell: 5.1612 5.1612 5.1612 Å, 90.00 90.00 90.00°
Last column: nearest neighbours and their distance in Å.
Positions (direct):
1 V 0.0000 0.0000 0.0000  6 Sn 2.58
2 Sn 0.0000 0.0000 0.5000  2 V 2.58
3 Sn 0.0000 0.5000 0.0000  2 V 2.58
4 Sn 0.5000 0.0000 0.0000  2 V 2.58
5 S 0.5000 0.5000 0.5000  12 Sn 3.65

- symmetry = No. 221
- energy above the most stable polymorph in this dataset (kJ/mol of formula units) = 0
- E (eV per atom) = -4.661
- N(E_F) (states/eV per atom) = 1.020

=====

Density functional theory data (PBE-GGA) for a geometry-optimized VSnS3 structure.

Cell: 4.6544 4.6544 4.6544 Å, 90.00 90.00 90.00°
Last column: nearest neighbours and their distance in Å.
Positions (direct):
1 V 0.0000 0.0000 0.0000  6 S 2.33
2 Sn 0.5000 0.5000 0.5000  12 S 3.29
3 S 0.0000 0.0000 0.5000  2 V 2.33
4 S 0.0000 0.5000 0.0000  2 V 2.33
5 S 0.5000 0.0000 0.0000  2 V 2.33

- symmetry = No. 221
- E (eV per atom) = -5.433
- N(E_F) (states/eV per atom) = 0.455

=====

The highest N(E_F) belongs to which entry? V2SnS

=====

The highest E belongs to which entry? VSn3S

=====

What did the first record say?
Density functional theory data (PBE-GGA) for a geometry-optimized V2SnS structure.

Cell: 6.9774 6.9774 6.9774 Å, 27.94 27.94 27.94°
Last column: nearest neighbours and their distance in Å.
Positions (direct):
1 V 0.2237 0.2237 0.2237  3 S 2.26
2 V 0.7763 0.7763 0.7763  3 S 2.26
3 Sn 0.0000 0.0000 0.0000  6 V 2.94
4 S 0.5000 0.5000 0.5000  6 V 2.26

- symmetry = No. 166
- energy above the most stable polymorph in this dataset (kJ/mol of formula units) = 0
- E (eV per atom) = -6.914
- N(E_F) (states/eV per atom) = 1.053